1.
DFT (PBE) results for a relaxed structure of SmGdHoAl.

The structure belongs to space group F-43m (No. 216); the cell edges are 7.617, 7.617 and 7.617 Å and the angles 90.00°, 90.00° and 90.00°. Symmetry generates all atoms from Sm at (0.000, 0.000, 0.000), Gd at (0.000, 0.000, 0.500), Ho at (0.250, 0.250, 0.750) and Al at (0.250, 0.250, 0.250).

For the calculated formation energy, the calculation gives -0.284 eV per formula unit.

---

2.
DFT (PBE) results for a relaxed structure of Pr3Be6Pd20.

The structure belongs to space group Fm-3m (No. 225); the cell edges are 12.106, 12.106 and 12.106 Å and the angles 90.00°, 90.00° and 90.00°. Symmetry generates all atoms from Pr at (0.000, 0.000, 0.000), Pr at (0.250, 0.250, 0.250), Be at (0.000, 0.000, 0.273), Pd at (0.000, 0.171, 0.171) and Pd at (0.115, 0.115, 0.385).

For the calculated formation energy, the calculation gives -17.471 eV per formula unit.

---

3.
DFT (PBE) results for a relaxed structure of LaAlGa2Au4.

The structure belongs to space group R-3m (No. 166, hexagonal axes); the cell edges are 4.5238, 4.5238 and 27.1504 Å and the angles 90.00°, 90.00° and 120.00°. Symmetry generates all atoms from La at (0.0000, 0.0000, 0.0000), Al at (0.0000, 0.0000, 0.5000), Ga at (0.0000, 0.0000, 0.2527), Au at (0.0000, 0.0000, 0.1388) and Au at (0.0000, 0.0000, 0.4019).

For the calculated formation energy, the calculation gives -4.039 eV per formula unit.

---

4.
DFT (PBE) results for a relaxed structure of In2SCl.

The structure belongs to space group R-3m (No. 166, hexagonal axes); the cell edges are 4.3597, 4.3597 and 24.7912 Å and the angles 90.00°, 90.00° and 120.00°. Symmetry generates all atoms from In at (0.0000, 0.0000, 0.1074), S at (0.0000, 0.0000, 0.5000) and Cl at (0.0000, 0.0000, 0.0000).

The value obtained for the uncorrected formation energy is -157 kJ/mol of formula units.

---

Please write out number 2 again, unchanged.
DFT (PBE) results for a relaxed structure of Pr3Be6Pd20.

The structure belongs to space group Fm-3m (No. 225); the cell edges are 12.106, 12.106 and 12.106 Å and the angles 90.00°, 90.00° and 90.00°. Symmetry generates all atoms from Pr at (0.000, 0.000, 0.000), Pr at (0.250, 0.250, 0.250), Be at (0.000, 0.000, 0.273), Pd at (0.000, 0.171, 0.171) and Pd at (0.115, 0.115, 0.385).

For the calculated formation energy, the calculation gives -17.471 eV per formula unit.